Entry 1:
Material: La2NpRu2
Method: DFT, PBE-GGA
State: optimized geometry

Computed properties:
**ρ**: 9.7 g/cm³
**N(E_F)**: 18.4 states/eV/cell
**Energy of formation**: -0.214 eV per atom

a = 5.964 Å, b = 5.964 Å, c = 7.921 Å
α = 97.91°, β = 97.91°, γ = 61.96°
Sites, in units of the cell vectors:
1 La 0.028 0.274 0.153
2 La 0.274 0.028 0.653
3 La 0.726 0.972 0.347
4 La 0.972 0.726 0.847
5 Np 0.375 0.625 0.250
6 Np 0.625 0.375 0.750
7 Ru 0.252 0.504 0.488
8 Ru 0.496 0.748 0.012
9 Ru 0.504 0.252 0.988
10 Ru 0.748 0.496 0.512

Entry 2:
Material: LaNpRu2
Method: DFT, PBE-GGA
State: optimized geometry

Computed properties:
**ρ**: 11.6 g/cm³
**N(E_F)**: 5.5 states/eV/cell
**Energy of formation**: -0.107 eV per atom

a = 3.333 Å, b = 3.333 Å, c = 7.464 Å
α = 90.00°, β = 90.00°, γ = 90.00°
Sites, in units of the cell vectors:
1 La 0.000 0.000 0.000
2 Np 0.000 0.000 0.500
3 Ru 0.500 0.500 0.298
4 Ru 0.500 0.500 0.702

Entry 3:
Material: La3NpRu3
Method: DFT, PBE-GGA
State: optimized geometry

Computed properties:
**ρ**: 9.2 g/cm³
**N(E_F)**: 17.8 states/eV/cell
**Energy of formation**: -0.165 eV per atom

a = 6.563 Å, b = 6.563 Å, c = 14.926 Å
α = 112.96°, β = 112.96°, γ = 36.23°
Sites, in units of the cell vectors:
1 La 0.031 0.031 0.297
2 La 0.169 0.169 0.570
3 La 0.375 0.375 0.867
4 La 0.625 0.625 0.133
5 La 0.831 0.831 0.430
6 La 0.969 0.969 0.703
7 Np 0.330 0.330 0.101
8 Np 0.670 0.670 0.899
9 Ru 0.094 0.094 0.965
10 Ru 0.322 0.322 0.252
11 Ru 0.452 0.452 0.570
12 Ru 0.548 0.548 0.430
13 Ru 0.678 0.678 0.748
14 Ru 0.906 0.906 0.035

Entry 4:
Material: LaNpRu2
Method: DFT, PBE-GGA
State: optimized geometry

Computed properties:
**ρ**: 11.0 g/cm³
**N(E_F)**: 27.7 states/eV/cell
**Energy of formation**: -0.138 eV per atom

a = 6.604 Å, b = 5.015 Å, c = 10.542 Å
α = 90.00°, β = 90.00°, γ = 90.00°
Sites, in units of the cell vectors:
1 La 0.174 0.250 0.161
2 La 0.326 0.750 0.661
3 La 0.674 0.250 0.339
4 La 0.826 0.750 0.839
5 Np 0.031 0.750 0.387
6 Np 0.469 0.250 0.887
7 Np 0.531 0.750 0.113
8 Np 0.969 0.250 0.613
9 Ru 0.116 0.250 0.858
10 Ru 0.240 0.250 0.473
11 Ru 0.260 0.750 0.973
12 Ru 0.384 0.750 0.358
13 Ru 0.616 0.250 0.642
14 Ru 0.740 0.250 0.027
15 Ru 0.760 0.750 0.527
16 Ru 0.884 0.750 0.142

Entry 5:
Material: LaNpRu
Method: DFT, PBE-GGA
State: optimized geometry

Computed properties:
**ρ**: 10.6 g/cm³
**N(E_F)**: 25.8 states/eV/cell
**Energy of formation**: 0.089 eV per atom

a = 6.538 Å, b = 6.761 Å, c = 6.846 Å
α = 90.00°, β = 100.09°, γ = 90.00°
Sites, in units of the cell vectors:
1 La 0.054 0.000 0.077
2 La 0.125 0.933 0.625
3 La 0.875 0.433 0.375
4 La 0.946 0.500 0.923
5 Np 0.394 0.390 0.689
6 Np 0.413 0.350 0.290
7 Np 0.587 0.850 0.710
8 Np 0.606 0.890 0.311
9 Ru 0.257 0.675 0.330
10 Ru 0.461 0.648 0.968
11 Ru 0.539 0.148 0.032
12 Ru 0.743 0.175 0.670

Entry 6:
Material: LaNp3Ru3
Method: DFT, PBE-GGA
State: optimized geometry

Computed properties:
**ρ**: 10.1 g/cm³
**N(E_F)**: 48.4 states/eV/cell
**Energy of formation**: 0.598 eV per atom

a = 7.232 Å, b = 7.232 Å, c = 7.232 Å
α = 90.00°, β = 90.00°, γ = 90.00°
Sites, in units of the cell vectors:
1 La 0.000 0.000 0.000
2 La 0.500 0.500 0.500
3 Np 0.000 0.250 0.500
4 Np 0.000 0.750 0.500
5 Np 0.250 0.500 0.000
6 Np 0.500 0.000 0.250
7 Np 0.500 0.000 0.750
8 Np 0.750 0.500 0.000
9 Ru 0.000 0.500 0.250
10 Ru 0.000 0.500 0.750
11 Ru 0.250 0.000 0.500
12 Ru 0.500 0.250 0.000
13 Ru 0.500 0.750 0.000
14 Ru 0.750 0.000 0.500

Entry 7:
Material: LaNpS4
Method: DFT, PBE-GGA
State: optimized geometry

Computed properties:
**Formation energy from raw total energies**: -1.444 eV per atom
**ρ**: 5.7 g/cm³
**Energy above the lowest structure with this stoichiometry**: 0.26 eV/f.u.
**N(E_F)**: 11.2 states/eV/cell

a = 7.655 Å, b = 7.655 Å, c = 6.489 Å
α = 108.53°, β = 108.53°, γ = 111.55°
Sites, in units of the cell vectors:
1 La 0.132 0.868 0.750
2 La 0.868 0.132 0.250
3 Np 0.463 0.537 0.250
4 Np 0.537 0.463 0.750
5 S 0.157 0.271 0.771
6 S 0.214 0.568 0.427
7 S 0.271 0.157 0.271
8 S 0.432 0.786 0.073
9 S 0.568 0.214 0.927
10 S 0.729 0.843 0.729
11 S 0.786 0.432 0.573
12 S 0.843 0.729 0.229

Entry 8:
Material: LaNpS2
Method: DFT, PBE-GGA
State: optimized geometry

Computed properties:
**Formation energy from raw total energies**: -1.608 eV per atom
**ρ**: 7.7 g/cm³
**Energy above the lowest structure with this stoichiometry**: 0.58 eV/f.u.
**N(E_F)**: 9.2 states/eV/cell

a = 7.570 Å, b = 7.570 Å, c = 7.570 Å
α = 29.76°, β = 29.76°, γ = 29.76°
Sites, in units of the cell vectors:
1 La 0.000 0.000 0.000
2 Np 0.825 0.825 0.825
3 S 0.417 0.417 0.417
4 S 0.576 0.576 0.576

Entry 9:
Material: La2NpS4
Method: DFT, PBE-GGA
State: optimized geometry

Computed properties:
**Formation energy from raw total energies**: -1.832 eV per atom
**ρ**: 5.8 g/cm³
**N(E_F)**: 19.1 states/eV/cell

a = 7.153 Å, b = 7.153 Å, c = 13.380 Å
α = 90.00°, β = 90.00°, γ = 147.69°
Sites, in units of the cell vectors:
1 La 0.132 0.868 0.573
2 La 0.132 0.868 0.927
3 La 0.868 0.132 0.073
4 La 0.868 0.132 0.427
5 Np 0.375 0.625 0.750
6 Np 0.625 0.375 0.250
7 S 0.017 0.983 0.750
8 S 0.223 0.777 0.127
9 S 0.223 0.777 0.373
10 S 0.500 0.500 0.000
11 S 0.500 0.500 0.500
12 S 0.777 0.223 0.627
13 S 0.777 0.223 0.873
14 S 0.983 0.017 0.250

Entry 10:
Material: La5Np2S12
Method: DFT, PBE-GGA
State: optimized geometry

Computed properties:
**Formation energy from raw total energies**: -1.835 eV per atom
**ρ**: 4.9 g/cm³
**N(E_F)**: 13.7 states/eV/cell

a = 8.750 Å, b = 8.750 Å, c = 9.218 Å
α = 105.73°, β = 105.73°, γ = 51.21°
Sites, in units of the cell vectors:
1 La 0.000 0.000 0.000
2 La 0.297 0.297 0.137
3 La 0.310 0.310 0.674
4 La 0.690 0.690 0.326
5 La 0.703 0.703 0.863
6 Np 0.251 0.749 0.500
7 Np 0.749 0.251 0.500
8 S 0.001 0.001 0.308
9 S 0.097 0.560 0.413
10 S 0.101 0.598 0.931
11 S 0.402 0.899 0.069
12 S 0.440 0.903 0.587
13 S 0.498 0.498 0.293
14 S 0.502 0.502 0.707
15 S 0.560 0.097 0.413
16 S 0.598 0.101 0.931
17 S 0.899 0.402 0.069
18 S 0.903 0.440 0.587
19 S 0.999 0.999 0.692

Entry 11:
Material: La5NpS6
Method: DFT, PBE-GGA
State: optimized geometry

Computed properties:
**Formation energy from raw total energies**: -2.015 eV per atom
**ρ**: 6.3 g/cm³
**N(E_F)**: 17.7 states/eV/cell

a = 7.137 Å, b = 7.137 Å, c = 7.146 Å
α = 99.61°, β = 99.61°, γ = 120.05°
Sites, in units of the cell vectors:
1 La 0.000 0.000 0.000
2 La 0.166 0.834 0.500
3 La 0.330 0.670 0.000
4 La 0.670 0.330 0.000
5 La 0.834 0.166 0.500
6 Np 0.500 0.500 0.500
7 S 0.095 0.419 0.257
8 S 0.258 0.258 0.747
9 S 0.419 0.095 0.257
10 S 0.581 0.905 0.743
11 S 0.742 0.742 0.253
12 S 0.905 0.581 0.743

Entry 12:
Material: LaNpS4
Method: DFT, PBE-GGA
State: optimized geometry

Computed properties:
**Formation energy from raw total energies**: -1.487 eV per atom
**ρ**: 5.9 g/cm³
**Energy above the lowest structure with this stoichiometry**: 0.00 eV/f.u.
**N(E_F)**: 8.4 states/eV/cell

a = 4.616 Å, b = 4.616 Å, c = 6.696 Å
α = 90.00°, β = 90.00°, γ = 90.00°
Sites, in units of the cell vectors:
1 La 0.000 0.000 0.000
2 Np 0.500 0.500 0.500
3 S 0.000 0.500 0.271
4 S 0.000 0.500 0.729
5 S 0.500 0.000 0.271
6 S 0.500 0.000 0.729

Entry 13:
Material: La3NpS4
Method: DFT, PBE-GGA
State: optimized geometry

Computed properties:
**Formation energy from raw total energies**: -1.944 eV per atom
**ρ**: 6.7 g/cm³
**N(E_F)**: 13.0 states/eV/cell

a = 7.113 Å, b = 7.113 Å, c = 4.090 Å
α = 90.00°, β = 90.00°, γ = 109.35°
Sites, in units of the cell vectors:
1 La 0.000 0.000 0.000
2 La 0.000 0.500 0.500
3 La 0.500 0.000 0.500
4 Np 0.500 0.500 0.000
5 S 0.256 0.744 0.000
6 S 0.263 0.263 0.500
7 S 0.737 0.737 0.500
8 S 0.744 0.256 0.000

Entry 14:
Material: La3NpS6
Method: DFT, PBE-GGA
State: optimized geometry

Computed properties:
**Formation energy from raw total energies**: -1.944 eV per atom
**ρ**: 4.8 g/cm³
**Energy above the lowest structure with this stoichiometry**: 0.00 eV/f.u.
**N(E_F)**: 17.7 states/eV/cell

a = 8.393 Å, b = 8.393 Å, c = 8.393 Å
α = 91.62°, β = 91.62°, γ = 91.62°
Sites, in units of the cell vectors:
1 La 0.066 0.751 0.574
2 La 0.249 0.426 0.934
3 La 0.426 0.934 0.249
4 La 0.574 0.066 0.751
5 La 0.751 0.574 0.066
6 La 0.934 0.249 0.426
7 Np 0.000 0.000 0.000
8 Np 0.500 0.500 0.500
9 S 0.037 0.687 0.908
10 S 0.092 0.963 0.313
11 S 0.189 0.427 0.588
12 S 0.313 0.092 0.963
13 S 0.412 0.811 0.573
14 S 0.427 0.588 0.189
15 S 0.573 0.412 0.811
16 S 0.588 0.189 0.427
17 S 0.687 0.908 0.037
18 S 0.811 0.573 0.412
19 S 0.908 0.037 0.687
20 S 0.963 0.313 0.092

Entry 15:
Material: LaNp3S4
Method: DFT, PBE-GGA
State: optimized geometry

Computed properties:
**Formation energy from raw total energies**: -1.527 eV per atom
**ρ**: 9.2 g/cm³
**N(E_F)**: 29.0 states/eV/cell

a = 6.870 Å, b = 3.953 Å, c = 6.907 Å
α = 90.00°, β = 109.29°, γ = 90.00°
Sites, in units of the cell vectors:
1 La 0.000 0.000 0.000
2 Np 0.000 0.500 0.500
3 Np 0.500 0.000 0.500
4 Np 0.500 0.500 0.000
5 S 0.255 0.000 0.744
6 S 0.261 0.500 0.264
7 S 0.739 0.500 0.736
8 S 0.745 0.000 0.256

Entry 16:
Material: La4NpS5
Method: DFT, PBE-GGA
State: optimized geometry

Computed properties:
**Formation energy from raw total energies**: -1.984 eV per atom
**ρ**: 6.4 g/cm³
**N(E_F)**: 11.5 states/eV/cell

a = 14.870 Å, b = 14.870 Å, c = 14.870 Å
α = 164.11°, β = 164.11°, γ = 22.55°
Sites, in units of the cell vectors:
1 La 0.099 0.099 0.000
2 La 0.301 0.301 0.000
3 La 0.699 0.699 0.000
4 La 0.901 0.901 0.000
5 Np 0.500 0.500 0.000
6 S 0.000 0.000 0.000
7 S 0.200 0.200 0.000
8 S 0.403 0.403 0.000
9 S 0.597 0.597 0.000
10 S 0.800 0.800 0.000

Entry 17:
Material: LaNpS2
Method: DFT, PBE-GGA
State: optimized geometry

Computed properties:
**Formation energy from raw total energies**: -1.754 eV per atom
**ρ**: 7.9 g/cm³
**Energy above the lowest structure with this stoichiometry**: 0.00 eV/f.u.
**N(E_F)**: 9.0 states/eV/cell

a = 7.010 Å, b = 7.010 Å, c = 7.010 Å
α = 33.39°, β = 33.39°, γ = 33.39°
Sites, in units of the cell vectors:
1 La 0.000 0.000 0.000
2 Np 0.500 0.500 0.500
3 S 0.244 0.244 0.244
4 S 0.756 0.756 0.756

Entry 18:
Material: La6NpS12
Method: DFT, PBE-GGA
State: optimized geometry

Computed properties:
**Formation energy from raw total energies**: -1.932 eV per atom
**ρ**: 4.6 g/cm³

a = 8.160 Å, b = 8.160 Å, c = 8.160 Å
α = 98.33°, β = 98.33°, γ = 98.33°
Sites, in units of the cell vectors:
1 La 0.127 0.643 0.816
2 La 0.184 0.873 0.357
3 La 0.357 0.184 0.873
4 La 0.643 0.816 0.127
5 La 0.816 0.127 0.643
6 La 0.873 0.357 0.184
7 Np 0.500 0.500 0.500
8 S 0.066 0.323 0.911
9 S 0.089 0.934 0.677
10 S 0.190 0.529 0.439
11 S 0.323 0.911 0.066
12 S 0.439 0.190 0.529
13 S 0.471 0.561 0.810
14 S 0.529 0.439 0.190
15 S 0.561 0.810 0.471
16 S 0.677 0.089 0.934
17 S 0.810 0.471 0.561
18 S 0.911 0.066 0.323
19 S 0.934 0.677 0.089

Entry 19:
Material: La3NpS6
Method: DFT, PBE-GGA
State: optimized geometry

Computed properties:
**Formation energy from raw total energies**: -1.922 eV per atom
**ρ**: 5.3 g/cm³
**Energy above the lowest structure with this stoichiometry**: 0.22 eV/f.u.
**N(E_F)**: 18.0 states/eV/cell

a = 11.413 Å, b = 4.146 Å, c = 11.711 Å
α = 90.00°, β = 107.12°, γ = 90.00°
Sites, in units of the cell vectors:
1 La 0.078 0.250 0.170
2 La 0.184 0.750 0.509
3 La 0.339 0.250 0.920
4 La 0.661 0.750 0.080
5 La 0.816 0.250 0.491
6 La 0.922 0.750 0.830
7 Np 0.455 0.250 0.318
8 Np 0.545 0.750 0.682
9 S 0.026 0.250 0.390
10 S 0.092 0.250 0.928
11 S 0.257 0.750 0.285
12 S 0.321 0.750 0.752
13 S 0.396 0.250 0.544
14 S 0.417 0.750 0.104
15 S 0.583 0.250 0.896
16 S 0.604 0.750 0.456
17 S 0.679 0.250 0.248
18 S 0.743 0.250 0.715
19 S 0.908 0.750 0.072
20 S 0.974 0.750 0.610

Entry 20:
Material: La2NpScS6
Method: DFT, PBE-GGA
State: optimized geometry

Computed properties:
**Formation energy from raw total energies**: -1.887 eV per atom
**ρ**: 5.1 g/cm³
**N(E_F)**: 19.4 states/eV/cell

a = 6.734 Å, b = 7.350 Å, c = 11.864 Å
α = 90.00°, β = 123.45°, γ = 90.00°
Sites, in units of the cell vectors:
1 La 0.212 0.094 0.248
2 La 0.212 0.406 0.748
3 La 0.788 0.594 0.252
4 La 0.788 0.906 0.752
5 Np 0.500 0.000 0.000
6 Np 0.500 0.500 0.500
7 Sc 0.000 0.000 0.500
8 Sc 0.000 0.500 0.000
9 S 0.107 0.195 0.933
10 S 0.107 0.305 0.433
11 S 0.245 0.684 0.934
12 S 0.245 0.816 0.434
13 S 0.375 0.046 0.741
14 S 0.375 0.454 0.241
15 S 0.625 0.546 0.759
16 S 0.625 0.954 0.259
17 S 0.755 0.184 0.566
18 S 0.755 0.316 0.066
19 S 0.893 0.695 0.567
20 S 0.893 0.805 0.067